A plane-wave DFT calculation with PBE with a Hubbard U was carried out for crystalline LiSbTe2WO12 at its relaxed geometry.

abc: 5.1545 5.3569 7.4375
angles: 93.23 90.12 90.05
With the nearest neighbours (Å) after each atom.
Atoms (fractional coordinates):
Li: 0.0000 0.0000 0.0000  3 O 1.98-2.01
Sb: 0.5004 0.9250 0.7788  6 O 1.98-2.05
Te: 0.0016 0.4288 0.7834  6 O 1.92-1.97
Te: 0.5031 0.9291 0.2861  6 O 1.91-1.95
W: 0.0021 0.4333 0.2900  6 O 1.91-2.00
O: 0.1051 0.4155 0.0383  1 W 1.94, 1 Te 1.97
O: 0.1721 0.1085 0.7380  1 Te 1.94, 1 Sb 1.99
O: 0.1993 0.7306 0.3410  1 W 1.91, 1 Te 1.95
O: 0.3014 0.2295 0.3404  1 W 1.94, 1 Te 1.94
O: 0.3129 0.6034 0.7236  1 Te 1.92, 1 Sb 2.00
O: 0.3735 0.9225 0.0404  1 Te 1.94, 1 Li 2.00, 1 Sb 2.05
O: 0.6282 0.9302 0.5281  1 Te 1.91, 1 Sb 1.98
O: 0.6993 0.6236 0.2310  1 W 1.93, 1 Te 1.95
O: 0.7062 0.2300 0.8556  1 Te 1.95, 1 Sb 2.00
O: 0.8077 0.1176 0.2236  1 Te 1.94, 1 W 2.00, 1 Li 2.01
O: 0.8180 0.7348 0.8516  1 Te 1.94, 1 Li 1.98, 1 Sb 2.02
O: 0.8856 0.4280 0.5348  1 W 1.92, 1 Te 1.94

energy: -5.967 eV per atom
crystal system: triclinic
space-group type: P1, No. 1

A plane-wave DFT calculation with PBE with a Hubbard U was carried out for crystalline Li4SbTe2WO12 at its relaxed geometry.

abc: 5.2663 5.6857 7.7185
angles: 84.31 89.77 89.97
With the nearest neighbours (Å) after each atom.
Atoms (fractional coordinates):
Li: 0.0000 0.0000 0.0000  4 O 2.05-2.21
Li: 0.0038 0.0197 0.4993  4 O 2.03-2.26
Li: 0.4853 0.5267 0.0084  3 O 2.00-2.03
Li: 0.4904 0.5202 0.4959  4 O 2.02-2.26
Sb: 0.9946 0.5896 0.2878  6 O 1.97-2.10
Te: 0.0005 0.5634 0.7855  3 O 1.97-2.09
Te: 0.4929 0.0929 0.2804  5 O 1.97-2.09
W: 0.4981 0.0884 0.7873  3 O 1.83-1.89
O: 0.1285 0.6283 0.0482  1 Sb 1.97, 1 Li 2.00, 1 Te 2.20
O: 0.1881 0.9714 0.7312  1 W 1.83, 1 Li 2.03
O: 0.2014 0.2975 0.3711  1 Sb 2.04, 2 Li 2.06-2.26, 1 Te 2.09
O: 0.2909 0.7983 0.3696  1 Te 2.04, 2 Li 2.06-2.26, 1 Sb 2.10
O: 0.3410 0.4287 0.7437  1 Te 1.99, 1 Li 2.08, 1 W 2.10
O: 0.3618 0.1352 0.0408  1 Te 1.97, 1 Li 2.09, 1 W 2.12
O: 0.6380 0.1082 0.5605  1 W 1.89, 1 Li 2.06
O: 0.6489 0.8143 0.8810  1 W 1.83, 1 Li 2.01
O: 0.6729 0.4176 0.2315  1 Sb 2.03, 1 Li 2.03, 1 Te 2.08
O: 0.8087 0.2772 0.8683  1 Te 1.97, 1 Li 2.05, 1 W 2.09
O: 0.8166 0.9184 0.2347  1 Te 2.02, 1 Li 2.06, 1 Sb 2.10
O: 0.8602 0.5965 0.5307  1 Sb 2.01, 1 Li 2.02, 1 Te 2.09

energy: -5.830 eV per atom
crystal system: triclinic
space-group type: P1, No. 1

Which of these has the lowest energy?
LiSbTe2WO12